1.
Material: Cs2TmCdCl6
Method: DFT, PBE
State: relaxed

Computed properties:
E_form (uncorrected), meV per atom: -1823.2
Space-group type: Pmmn, No. 59

Lattice parameters (Å, degrees): 7.8579 11.1178 7.8639 90.00 90.00 90.00
Sites, in units of the cell vectors:
Cs: 0.2500 0.9999 0.2505
Cs: 0.2500 0.5001 0.2505
Cs: 0.7500 0.0001 0.7495
Cs: 0.7500 0.4999 0.7495
Tm: 0.2500 0.2500 0.7498
Tm: 0.7500 0.7500 0.2502
Cd: 0.2500 0.7500 0.7503
Cd: 0.7500 0.2500 0.2497
Cl: 0.0152 0.2500 0.5152
Cl: 0.0151 0.2500 0.9843
Cl: 0.2500 0.0152 0.7496
Cl: 0.2500 0.4848 0.7496
Cl: 0.4848 0.2500 0.5152
Cl: 0.4849 0.2500 0.9843
Cl: 0.5151 0.7500 0.0157
Cl: 0.5152 0.7500 0.4848
Cl: 0.7500 0.5152 0.2504
Cl: 0.7500 0.9848 0.2504
Cl: 0.9849 0.7500 0.0157
Cl: 0.9848 0.7500 0.4848



2.
Material: CrInW2
Method: DFT, PBE
State: relaxed

Computed properties:
Space-group type: P4/mmm, No. 123
DFT formation energy, eV per atom: 0.495

Lattice parameters (Å, degrees): 3.2601 3.2601 6.2212 90.00 90.00 90.00
Sites, in units of the cell vectors:
Cr: 0.0000 0.0000 0.0000
In: 0.0000 0.0000 0.5000
W: 0.5000 0.5000 0.2023
W: 0.5000 0.5000 0.7977



3.
Material: LaY2TaB
Method: DFT, PBE
State: relaxed

Computed properties:
Space-group type: P4/mmm, No. 123
DFT formation energy, eV per atom: 2.165

Lattice parameters (Å, degrees): 5.5238 5.5238 4.9358 90.00 90.00 90.00
Sites, in units of the cell vectors:
La: 0.0000 0.0000 0.0000
Y: 0.0000 0.5000 0.0000
Y: 0.5000 0.0000 0.0000
Ta: 0.0000 0.0000 0.5000
B: 0.5000 0.5000 0.5000



4.
Material: HfBe2Cl
Method: DFT, PBE
State: relaxed

Computed properties:
E_form (uncorrected), meV per atom: 979.5
Space-group type: Fm-3m, No. 225
Excess energy over the best structure of this formula in the dataset, meV per atom: 513

Lattice parameters (Å, degrees): 6.3555 6.3555 6.3555 90.00 90.00 90.00
Sites, in units of the cell vectors:
Hf: 0.0000 0.0000 0.0000
Hf: 0.0000 0.5000 0.5000
Hf: 0.5000 0.0000 0.5000
Hf: 0.5000 0.5000 0.0000
Be: 0.2500 0.2500 0.2500
Be: 0.2500 0.2500 0.7500
Be: 0.2500 0.7500 0.2500
Be: 0.2500 0.7500 0.7500
Be: 0.7500 0.2500 0.2500
Be: 0.7500 0.2500 0.7500
Be: 0.7500 0.7500 0.2500
Be: 0.7500 0.7500 0.7500
Cl: 0.0000 0.0000 0.5000
Cl: 0.0000 0.5000 0.0000
Cl: 0.5000 0.0000 0.0000
Cl: 0.5000 0.5000 0.5000



| no. | D(E_F) (states/eV per atom) |
| --- | --- |
| 1 | 0.27 |
| 2 | 0.51 |
| 3 | 1.45 |
| 4 | 0.89 |